# RbBe2Co

Crystalline RbBe2Co at its relaxed geometry (PBE-GGA, Alexandria via LeMat-Bulk).

a = 6.466 Å, b = 6.466 Å, c = 9.391 Å
α = 90.00°, β = 90.00°, γ = 90.00°
Space group I4_1/amd (No. 141, origin choice 2)
Symmetry-distinct sites (fractional):
Rb: 0.000 0.250 0.375 [4 per cell]
Be: 0.000 0.000 0.000 [8 per cell]
Co: 0.000 0.250 0.875 [4 per cell]

Output
ΔE to the lowest computed polymorph: 0.000 eV/atom
DOS(E_F): 3.32 states/eV/cell
Calculated volume: 24.54 Å³/atom
Magnetic moment: 0.0 μB per cell
Crystal system: tetragonal

---

# Na2PmTl

Crystalline Na2PmTl at its relaxed geometry (PBE-GGA, Alexandria via LeMat-Bulk).

a = 3.4642 Å, b = 3.4642 Å, c = 37.6354 Å
α = 90.00°, β = 90.00°, γ = 120.00°
Space group R-3m (No. 166, hexagonal axes)
Symmetry-distinct sites (fractional):
Na: 0.0000 0.0000 0.0914 [6 per cell]
Pm: 0.0000 0.0000 0.0000 [3 per cell]
Tl: 0.0000 0.0000 0.5000 [3 per cell]

Output
DOS(E_F): 7.95 states/eV/cell
Calculated volume: 32.59 Å³/atom
Magnetic moment: 0.0 μB per cell
Crystal system: trigonal

---

# SrRu2Au

Crystalline SrRu2Au at its relaxed geometry (PBE-GGA, Alexandria via LeMat-Bulk).

a = 8.602 Å, b = 4.254 Å, c = 5.582 Å
α = 90.00°, β = 110.85°, γ = 90.00°
Space group C2/m (No. 12)
Symmetry-distinct sites (fractional):
Sr: 0.000 0.000 0.000 [2 per cell]
Ru: 0.209 0.000 0.566 [4 per cell]
Au: 0.000 0.500 0.500 [2 per cell]

Output
ΔE to the lowest computed polymorph: 0.170 eV/atom
DOS(E_F): 6.82 states/eV/cell
Calculated volume: 23.86 Å³/atom
Magnetic moment: 0.0 μB per cell
Crystal system: monoclinic

---

Number 1: uncorrected energy -3.043 eV per atom, ΔE_f 839 meV/atom. Number 2: uncorrected energy -2.308 eV per atom, ΔE_f 131 meV/atom. Number 3: uncorrected energy -5.617 eV per atom, ΔE_f 261 meV/atom.